Entry from Alexandria: crystalline ZnBiPd3 at its relaxed geometry (PBEsol).

```
ZnBiPd3
1.0
4.957 0.000 0.000
0.000 4.957 0.000
0.000 0.000 4.957
Pd Bi Zn
3 1 1
Direct
0.000 0.000 0.500
0.500 0.000 0.000
0.000 0.500 0.000
0.000 0.000 0.000
0.500 0.500 0.500
```

Properties
- Mass density: 8.093 g/cm³
- Final energy: -19.43 eV/cell
- ΔH_f (0 K): 0.862 eV per atom

***

Entry from Alexandria: crystalline ZrBiPd3 at its relaxed geometry (PBEsol).

```
ZrBiPd3
1.0
-1.741 0.933 4.424
0.799 -4.603 1.285
4.450 1.192 1.500
Bi Pd Zr
1 3 1
Direct
0.500 0.500 0.500
0.500 0.000 0.000
0.000 0.000 0.500
0.000 0.500 0.000
0.000 0.000 0.000
```

Properties
- Mass density: 9.043 g/cm³
- Final energy: -28.86 eV/cell
- ΔH_f (0 K): 0.478 eV per atom

***

Entry from Alexandria: crystalline PmBiRh2 at its relaxed geometry (PBEsol).

```
PmBiRh2
1.0
4.784 0.000 0.000
2.392 4.143 0.000
2.392 1.381 3.906
Bi Pm Rh
1 1 2
Direct
0.500 0.500 0.500
0.000 0.000 0.000
0.750 0.750 0.750
0.250 0.250 0.250
```

Properties
- Mass density: 12.007 g/cm³
- Final energy: -27.48 eV/cell
- ΔH_f (0 K): -0.445 eV per atom

***

Entry from Alexandria: crystalline PrBi3 at its relaxed geometry (PBEsol).

```
PrBi3
1.0
-3.676 -2.212 1.857
2.649 -3.780 0.740
1.867 4.916 3.667
Bi Pr
3 1
Direct
0.250 0.750 0.500
0.750 0.250 0.500
0.500 0.500 0.000
0.000 0.000 0.000
```

Properties
- Mass density: 10.623 g/cm³
- Final energy: -20.09 eV/cell
- ΔH_f (0 K): -0.511 eV per atom

***

no.,N(E_F) (states/eV/atom)
1,0.535
2,0.502
3,1.386
4,0.640